1.
A plane-wave DFT calculation with PBE-GGA was carried out for a relaxed Tb3Nd3PuS8 crystal.

Unit cell a=7.957 b=7.957 c=8.010 alpha=119.78 beta=90.00 gamma=120.00
Each line ends with the local moment (μB).
Element x y z (fractional)
S1 0.751 0.008 0.259  -0.02
S2 0.751 0.502 0.259  -0.02
S3 0.249 0.992 0.741  -0.02
S4 0.257 0.008 0.259  -0.02
S5 0.254 0.508 0.262  0.00
S6 0.249 0.498 0.741  -0.02
S7 0.746 0.492 0.738  0.00
S8 0.743 0.992 0.741  -0.02
Tb1 0.500 0.000 0.500  0.07
Tb2 0.000 0.500 0.500  0.07
Tb3 0.500 0.500 0.500  0.07
Nd1 0.000 0.000 0.000  0.06
Nd2 0.500 0.500 0.000  0.06
Nd3 0.000 0.500 0.000  0.06
Pu1 0.000 0.000 0.500  5.31

Properties
crystal system = trigonal
N(E_F) = 14.1 states/eV/f.u.
uncorrected formation energy = -2.0040 eV per atom
total moment = 6.208 μB/f.u.

2.
A plane-wave DFT calculation with PBE-GGA was carried out for a relaxed Tb3Nd4PuS8 crystal.

Unit cell a=7.983 b=8.026 c=7.983 alpha=119.82 beta=120.00 gamma=90.00
Each line ends with the local moment (μB).
Element x y z (fractional)
S1 0.255 0.262 0.009  -0.02
S2 0.745 0.738 0.991  -0.02
S3 0.246 0.738 0.493  -0.02
S4 0.754 0.262 0.009  -0.02
S5 0.746 0.737 0.491  0.00
S6 0.246 0.738 0.991  -0.02
S7 0.254 0.263 0.509  0.00
S8 0.754 0.262 0.507  -0.02
Tb1 0.000 0.500 0.500  0.03
Tb2 0.500 0.500 0.000  0.03
Tb3 0.500 0.500 0.500  0.03
Nd1 0.500 0.000 0.000  -0.06
Nd2 0.000 0.000 0.500  0.01
Nd3 0.000 0.000 0.000  0.01
Nd4 0.500 0.000 0.500  0.01
Pu1 0.000 0.500 0.000  5.30

Properties
crystal system = trigonal
N(E_F) = 12.9 states/eV/f.u.
uncorrected formation energy = -1.9984 eV per atom
total moment = 5.624 μB/f.u.

3.
A plane-wave DFT calculation with PBE-GGA was carried out for a relaxed Tb3Nd2PuS6 crystal.

Unit cell a=3.955 b=8.011 c=8.910 alpha=103.35 beta=102.82 gamma=90.00
Each line ends with the local moment (μB).
Element x y z (fractional)
Nd1 0.835 0.669 0.669  0.02
Nd2 0.165 0.331 0.331  0.02
S1 0.336 0.409 0.672  0.01
S2 0.333 0.924 0.666  -0.02
S3 0.003 0.750 0.007  -0.04
S4 0.664 0.591 0.328  0.01
S5 0.997 0.250 0.993  -0.04
S6 0.667 0.076 0.334  -0.02
Pu1 0.500 0.000 0.000  5.40
Tb1 0.833 0.164 0.666  0.02
Tb2 0.167 0.836 0.334  0.02
Tb3 0.500 0.500 0.000  0.01

Properties
crystal system = monoclinic
N(E_F) = 8.0 states/eV/f.u.
uncorrected formation energy = -1.9929 eV per atom
total moment = 5.876 μB/f.u.

4.
A plane-wave DFT calculation with PBE-GGA was carried out for a relaxed NdPuTe2S crystal.

Unit cell a=4.447 b=4.447 c=15.907 alpha=90.00 beta=90.00 gamma=90.00
Each line ends with the local moment (μB).
Element x y z (fractional)
Pu1 0.000 0.500 0.402  -5.02
Pu2 0.500 0.000 0.598  -5.02
Te1 0.500 0.000 0.906  0.00
Te2 0.000 0.500 0.094  0.00
Te3 0.000 0.500 0.692  0.08
Te4 0.500 0.000 0.308  0.08
S1 0.000 0.000 0.500  0.19
S2 0.500 0.500 0.500  0.19
Nd1 0.500 0.000 0.117  0.00
Nd2 0.000 0.500 0.883  0.00

Properties
crystal system = tetragonal
N(E_F) = 7.9 states/eV/f.u.
uncorrected formation energy = -1.3347 eV per atom
total moment = 4.777 μB/f.u.

5.
A plane-wave DFT calculation with PBE-GGA was carried out for a relaxed Nd2PuThS4 crystal.

Unit cell a=4.022 b=6.999 c=6.995 alpha=109.34 beta=90.00 gamma=90.00
Each line ends with the local moment (μB).
Element x y z (fractional)
Nd1 0.500 0.000 0.500  0.02
Nd2 0.000 0.500 0.500  -0.04
S1 0.000 0.752 0.246  -0.01
S2 0.500 0.244 0.242  -0.04
S3 0.500 0.756 0.758  -0.04
S4 0.000 0.248 0.754  -0.01
Th1 0.500 0.500 0.000  0.04
Pu1 0.000 0.000 0.000  5.33

Properties
crystal system = monoclinic
N(E_F) = 9.7 states/eV/f.u.
uncorrected formation energy = -1.9176 eV per atom
total moment = 5.611 μB/f.u.

6.
A plane-wave DFT calculation with PBE-GGA was carried out for a relaxed NdPu2Th3S6 crystal.

Unit cell a=6.914 b=6.914 c=7.015 alpha=99.45 beta=99.45 gamma=119.93
Each line ends with the local moment (μB).
Element x y z (fractional)
S1 0.740 0.740 0.240  -0.04
S2 0.260 0.260 0.760  -0.04
S3 0.421 0.082 0.244  -0.04
S4 0.579 0.918 0.756  -0.04
S5 0.082 0.421 0.244  -0.04
S6 0.918 0.579 0.756  -0.04
Pu1 0.333 0.667 0.000  5.28
Pu2 0.667 0.333 0.000  5.28
Th1 0.836 0.164 0.500  0.00
Th2 0.500 0.500 0.500  0.01
Th3 0.164 0.836 0.500  0.00
Nd1 0.000 0.000 0.000  0.02

Properties
crystal system = monoclinic
N(E_F) = 15.5 states/eV/f.u.
uncorrected formation energy = -1.8561 eV per atom
total moment = 11.059 μB/f.u.